{"formula": "Tl2FeCu", "functional": "PBE-GGA", "state": "relaxed", "cell": [[4.938, 0.071, -0.031], [-0.756, 4.880, -0.031], [0.020, 0.023, 3.137]], "species": ["Fe", "Cu", "Tl", "Tl"], "fractional_positions": [[0.000, 0.500, 0.500], [0.500, 0.000, 0.500], [0.000, 0.000, 0.000], [0.500, 0.500, 0.000]], "relative_energy_kj_per_mol_atoms": 11.00}